(1)
The following is a PBEsol calculation of crystalline CdSn2O at its relaxed geometry, from Alexandria via LeMat-Bulk.

Values from the calculation:
formation energy (no corrections) = 0.1027 eV per atom
crystal system = cubic
DOS(E_F) = 3.12 states/eV/f.u.

POSCAR file:
```
CdSn2O
1.0
0.000 3.382 3.382
3.382 0.000 3.382
3.382 3.382 0.000
Cd Sn O
1 2 1
Direct
0.000 0.000 0.000 Cd
0.250 0.250 0.250 Sn
0.750 0.750 0.750 Sn
0.500 0.500 0.500 O
```

(2)
The following is a PBEsol calculation of crystalline Cd2SnO4 at its relaxed geometry, from Alexandria via LeMat-Bulk.

Values from the calculation:
formation energy (no corrections) = -1.3267 eV per atom
offset from the most stable computed form = 20.0 meV/atom
crystal system = orthorhombic
DOS(E_F) = 0.91 states/eV/f.u.

POSCAR file:
```
Cd2SnO4
1.0
-3.208 3.243 4.728
3.208 -3.243 4.728
3.208 3.243 -4.728
Cd Sn O
4 2 8
Direct
0.000 0.000 0.500 Cd
0.000 0.500 0.000 Cd
0.389 0.139 0.250 Cd
0.611 0.861 0.750 Cd
0.000 0.500 0.500 Sn
0.500 0.500 0.000 Sn
0.205 0.716 0.489 O
0.250 0.282 0.532 O
0.250 0.718 0.968 O
0.273 0.284 0.989 O
0.727 0.716 0.011 O
0.750 0.282 0.032 O
0.750 0.718 0.468 O
0.795 0.284 0.511 O
```

(3)
The following is a PBEsol calculation of crystalline Cd2SnO4 at its relaxed geometry, from Alexandria via LeMat-Bulk.

Values from the calculation:
formation energy (no corrections) = -1.3466 eV per atom
offset from the most stable computed form = 0.0 meV/atom
crystal system = orthorhombic

POSCAR file:
```
Cd2SnO4
1.0
5.586 0.000 0.000
0.000 9.955 0.000
0.000 0.000 3.205
Cd Sn O
4 2 8
Direct
0.060 0.176 0.000 Cd
0.440 0.676 0.000 Cd
0.560 0.324 0.000 Cd
0.940 0.824 0.000 Cd
0.000 0.500 0.500 Sn
0.500 0.000 0.500 Sn
0.135 0.693 0.500 O
0.236 0.461 0.000 O
0.264 0.961 0.000 O
0.365 0.193 0.500 O
0.635 0.807 0.500 O
0.736 0.039 0.000 O
0.764 0.539 0.000 O
0.865 0.307 0.500 O
```

(4)
The following is a PBEsol calculation of crystalline CdSnO2 at its relaxed geometry, from Alexandria via LeMat-Bulk.

Values from the calculation:
formation energy (no corrections) = -0.5222 eV per atom
crystal system = cubic
DOS(E_F) = 1.38 states/eV/f.u.

POSCAR file:
```
CdSnO2
1.0
0.000 3.000 3.000
3.000 0.000 3.000
3.000 3.000 0.000
Cd Sn O
1 1 2
Direct
0.000 0.000 0.000 Cd
0.500 0.500 0.500 Sn
0.250 0.250 0.250 O
0.750 0.750 0.750 O
```

(5)
The following is a PBEsol calculation of crystalline Cd2SnO4 at its relaxed geometry, from Alexandria via LeMat-Bulk.

Values from the calculation:
formation energy (no corrections) = -1.2238 eV per atom
offset from the most stable computed form = 122.8 meV/atom
crystal system = cubic
DOS(E_F) = 4.17 states/eV/f.u.

POSCAR file:
```
Cd2SnO4
1.0
0.000 4.599 4.599
4.599 0.000 4.599
4.599 4.599 0.000
Cd Sn O
4 2 8
Direct
0.000 0.000 0.000 Cd
0.000 0.000 0.500 Cd
0.000 0.500 0.000 Cd
0.500 0.000 0.000 Cd
0.375 0.375 0.375 Sn
0.625 0.625 0.625 Sn
0.250 0.250 0.250 O
0.250 0.250 0.749 O
0.250 0.749 0.250 O
0.251 0.750 0.750 O
0.749 0.250 0.250 O
0.750 0.251 0.750 O
0.750 0.750 0.251 O
0.750 0.750 0.750 O
```

(6)
The following is a PBEsol calculation of crystalline TlCdSnO2 at its relaxed geometry, from Alexandria via LeMat-Bulk.

Values from the calculation:
formation energy (no corrections) = 0.1821 eV per atom
crystal system = tetragonal
DOS(E_F) = 1.85 states/eV/f.u.

POSCAR file:
```
TlCdSnO2
1.0
4.253 0.000 0.000
0.000 4.253 0.000
0.000 0.000 5.582
Tl Cd Sn O
1 1 1 2
Direct
0.000 0.000 0.000 Tl
0.000 0.000 0.500 Cd
0.500 0.500 0.500 Sn
0.000 0.500 0.000 O
0.500 0.000 0.000 O
```

(7)
The following is a PBEsol calculation of crystalline Sr3CdO at its relaxed geometry, from Alexandria via LeMat-Bulk.

Values from the calculation:
formation energy (no corrections) = -1.2064 eV per atom
crystal system = cubic
DOS(E_F) = 3.68 states/eV/f.u.

POSCAR file:
```
Sr3CdO
1.0
5.162 0.000 0.000
0.000 5.162 0.000
0.000 0.000 5.162
Sr Cd O
3 1 1
Direct
0.000 0.000 0.500 Sr
0.000 0.500 0.000 Sr
0.500 0.000 0.000 Sr
0.500 0.500 0.500 Cd
0.000 0.000 0.000 O
```

(8)
The following is a PBEsol calculation of crystalline SrTlCd2O at its relaxed geometry, from Alexandria via LeMat-Bulk.

Values from the calculation:
formation energy (no corrections) = -0.0762 eV per atom
crystal system = tetragonal
DOS(E_F) = 3.56 states/eV/f.u.

POSCAR file:
```
SrTlCd2O
1.0
6.256 0.000 0.000
0.000 6.256 0.000
0.000 0.000 4.381
Sr Tl Cd O
1 1 2 1
Direct
0.000 0.000 0.000 Sr
0.500 0.500 0.500 Tl
0.000 0.500 0.000 Cd
0.500 0.000 0.000 Cd
0.000 0.000 0.500 O
```